# 1
A plane-wave DFT calculation with PBE was carried out for a relaxed structure of ZrPb2Se.

Geometry as CIF:
```
data_ZrPb2Se
_chemical_formula_sum 'Zr1 Pb2 Se1'
_symmetry_space_group_name_H-M 'P 1 2/m 1'
_symmetry_Int_Tables_number 10
_cell_length_a 4.1684
_cell_length_b 4.2281
_cell_length_c 5.8574
_cell_angle_alpha 90.00
_cell_angle_beta 90.57
_cell_angle_gamma 90.00
loop_
_symmetry_equiv_pos_as_xyz
'x,y,z'
'-x,-y,-z'
'-x,y,-z'
'x,-y,z'
loop_
_atom_site_label
_atom_site_type_symbol
_atom_site_fract_x
_atom_site_fract_y
_atom_site_fract_z
Zr1 Zr 0.0000 0.0000 0.0000
Pb1 Pb 0.4969 0.5000 0.7505
Se1 Se 0.0000 0.0000 0.5000
```

Summary:
Total magnetic moment   0.00 μB per atom
Energy relative to the elements, uncorrected   -0.43 eV per formula unit
Crystal system   monoclinic
Volume   25.8 Å³ per atom
Mass density   9.4 g/cm³

# 2
A plane-wave DFT calculation with PBE was carried out for a relaxed structure of LiPr4Au3.

Geometry as CIF:
```
data_LiPr4Au3
_chemical_formula_sum 'Li1 Pr4 Au3'
_symmetry_space_group_name_H-M 'P m m 2'
_symmetry_Int_Tables_number 25
_cell_length_a 3.9765
_cell_length_b 4.8629
_cell_length_c 11.2749
_cell_angle_alpha 90.00
_cell_angle_beta 90.00
_cell_angle_gamma 90.00
loop_
_symmetry_equiv_pos_as_xyz
'x,y,z'
'-x,-y,z'
'-x,y,z'
'x,-y,z'
loop_
_atom_site_label
_atom_site_type_symbol
_atom_site_fract_x
_atom_site_fract_y
_atom_site_fract_z
Li1 Li 0.0000 0.0000 0.0000
Pr1 Pr 0.0000 0.0000 0.2963
Pr2 Pr 0.0000 0.5000 0.5713
Pr3 Pr 0.5000 0.0000 0.7862
Pr4 Pr 0.5000 0.5000 0.0716
Au1 Au 0.0000 0.5000 0.8597
Au2 Au 0.5000 0.0000 0.5162
Au3 Au 0.5000 0.5000 0.3508
```

Summary:
Total magnetic moment   0.00 μB per atom
Formation energy   -0.5596 eV per atom
Crystal system   orthorhombic
Volume   27.3 Å³ per atom
Mass density   8.8 g/cm³

# 3
A plane-wave DFT calculation with PBE was carried out for a relaxed structure of Pa3Si2Ge2.

Geometry as CIF:
```
data_Pa3Si2Ge2
_chemical_formula_sum 'Pa6 Si4 Ge4'
_symmetry_space_group_name_H-M 'I m m m'
_symmetry_Int_Tables_number 71
_symmetry_space_group_name_Hall '-I 2 2'
_cell_length_a 4.0691
_cell_length_b 4.1260
_cell_length_c 17.6509
_cell_angle_alpha 90.00
_cell_angle_beta 90.00
_cell_angle_gamma 90.00
loop_
_atom_site_label
_atom_site_type_symbol
_atom_site_fract_x
_atom_site_fract_y
_atom_site_fract_z
Pa1 Pa 0.0000 0.0000 0.0000
Pa2 Pa 0.0000 0.5000 0.1832
Si1 Si 0.0000 0.0000 0.4353
Ge1 Ge 0.0000 0.5000 0.3509
```

Summary:
Total magnetic moment   0.00 μB per atom
Energy relative to the elements, uncorrected   -3.06 eV per formula unit
Crystal system   orthorhombic
Volume   21.2 Å³ per atom
Mass density   10.0 g/cm³

# 4
A plane-wave DFT calculation with PBE was carried out for a relaxed structure of Th4Bi2CSe.

Geometry as CIF:
```
data_Th4Bi2CSe
_chemical_formula_sum 'Th4 Bi2 C1 Se1'
_symmetry_space_group_name_H-M 'P 1 2/m 1'
_symmetry_Int_Tables_number 10
_cell_length_a 7.3976
_cell_length_b 4.1699
_cell_length_c 7.6871
_cell_angle_alpha 90.00
_cell_angle_beta 107.96
_cell_angle_gamma 90.00
loop_
_symmetry_equiv_pos_as_xyz
'x,y,z'
'-x,-y,-z'
'-x,y,-z'
'x,-y,z'
loop_
_atom_site_label
_atom_site_type_symbol
_atom_site_fract_x
_atom_site_fract_y
_atom_site_fract_z
Th1 Th 0.2088 0.0000 0.1936
Th2 Th 0.2344 0.5000 0.7987
Bi1 Bi 0.0000 0.0000 0.5000
Bi2 Bi 0.5000 0.5000 0.5000
C1 C 0.0000 0.5000 0.0000
Se1 Se 0.5000 0.0000 0.0000
```

Summary:
Total magnetic moment   0.00 μB per atom
Energy relative to the elements, uncorrected   -5.90 eV per formula unit
Crystal system   monoclinic
Volume   28.2 Å³ per atom
Mass density   10.6 g/cm³

# 5
A plane-wave DFT calculation with PBE was carried out for a relaxed structure of Tb2HoZrSc4.

Geometry as CIF:
```
data_Tb2HoZrSc4
_chemical_formula_sum 'Tb2 Ho1 Zr1 Sc4'
_symmetry_space_group_name_H-M 'P m m m'
_symmetry_Int_Tables_number 47
_cell_length_a 4.7819
_cell_length_b 4.7960
_cell_length_c 9.2704
_cell_angle_alpha 90.00
_cell_angle_beta 90.00
_cell_angle_gamma 90.00
loop_
_symmetry_equiv_pos_as_xyz
'x,y,z'
'-x,-y,-z'
'-x,-y,z'
'x,y,-z'
'x,-y,-z'
'-x,y,z'
'-x,y,-z'
'x,-y,z'
loop_
_atom_site_label
_atom_site_type_symbol
_atom_site_fract_x
_atom_site_fract_y
_atom_site_fract_z
Tb1 Tb 0.0000 0.0000 0.0000
Tb2 Tb 0.5000 0.5000 0.5000
Ho1 Ho 0.0000 0.0000 0.5000
Zr1 Zr 0.5000 0.5000 0.0000
Sc1 Sc 0.0000 0.5000 0.2391
Sc2 Sc 0.5000 0.0000 0.2393
```

Summary:
Total magnetic moment   0.00 μB per atom
Formation energy   0.0552 eV per atom
Crystal system   orthorhombic
Volume   26.6 Å³ per atom
Mass density   5.9 g/cm³

# 6
A plane-wave DFT calculation with PBE was carried out for a relaxed structure of SrScRu2O8.

Geometry as CIF:
```
data_SrScRu2O8
_chemical_formula_sum 'Sr1 Sc1 Ru2 O8'
_symmetry_space_group_name_H-M 'P -3'
_symmetry_Int_Tables_number 147
_cell_length_a 5.7890
_cell_length_b 5.7890
_cell_length_c 6.9782
_cell_angle_alpha 90.00
_cell_angle_beta 90.00
_cell_angle_gamma 120.00
loop_
_symmetry_equiv_pos_as_xyz
'x,y,z'
'-x,-y,-z'
'-y,x-y,z'
'y,-x+y,-z'
'-x+y,-x,z'
'x-y,x,-z'
loop_
_atom_site_label
_atom_site_type_symbol
_atom_site_fract_x
_atom_site_fract_y
_atom_site_fract_z
Sr1 Sr 0.0000 0.0000 0.0000
Sc1 Sc 0.0000 0.0000 0.5000
Ru1 Ru 0.3333 0.6667 0.7692
O1 O 0.1560 0.3171 0.6964
O2 O 0.3333 0.6667 0.0242
```

Summary:
Total magnetic moment   0.25 μB per atom
Energy relative to the elements, uncorrected   -19.54 eV per formula unit
Crystal system   trigonal
Volume   16.9 Å³ per atom
Mass density   3.8 g/cm³

- mass density of number 4 (Th4Bi2CSe)?
  10.6 g/cm³

- mass density of number 3 (Pa3Si2Ge2)?
  10.0 g/cm³

Repeat the fifth record exactly.
A plane-wave DFT calculation with PBE was carried out for a relaxed structure of Tb2HoZrSc4.

Geometry as CIF:
```
data_Tb2HoZrSc4
_chemical_formula_sum 'Tb2 Ho1 Zr1 Sc4'
_symmetry_space_group_name_H-M 'P m m m'
_symmetry_Int_Tables_number 47
_cell_length_a 4.7819
_cell_length_b 4.7960
_cell_length_c 9.2704
_cell_angle_alpha 90.00
_cell_angle_beta 90.00
_cell_angle_gamma 90.00
loop_
_symmetry_equiv_pos_as_xyz
'x,y,z'
'-x,-y,-z'
'-x,-y,z'
'x,y,-z'
'x,-y,-z'
'-x,y,z'
'-x,y,-z'
'x,-y,z'
loop_
_atom_site_label
_atom_site_type_symbol
_atom_site_fract_x
_atom_site_fract_y
_atom_site_fract_z
Tb1 Tb 0.0000 0.0000 0.0000
Tb2 Tb 0.5000 0.5000 0.5000
Ho1 Ho 0.0000 0.0000 0.5000
Zr1 Zr 0.5000 0.5000 0.0000
Sc1 Sc 0.0000 0.5000 0.2391
Sc2 Sc 0.5000 0.0000 0.2393
```

Summary:
Total magnetic moment   0.00 μB per atom
Formation energy   0.0552 eV per atom
Crystal system   orthorhombic
Volume   26.6 Å³ per atom
Mass density   5.9 g/cm³

- Which of these has the lowest volume?
  SrScRu2O8